[1]
The following is a DFT calculation (PBE) of crystalline CsKCr3 at its relaxed geometry.

Values from the calculation:
E above lowest polymorph	0	meV per atom
magnetization	16.01	μB/f.u.
space group	Pm-3m
electronic total energy	-4.3045	eV/atom
E_form	42.9	kcal/mol of atoms

Structure (POSCAR):
```
CsKCr3
1.0
6.301 0.000 0.000
0.000 6.301 0.000
0.000 0.000 6.301
Cs K Cr
1 1 3
Direct
0.000 0.000 0.000 Cs
0.500 0.500 0.500 K
0.000 0.500 0.500 Cr
0.500 0.000 0.500 Cr
0.500 0.500 0.000 Cr
```

***

[2]
The following is a DFT calculation (PBE) of crystalline CaZrMn2V at its relaxed geometry.

Values from the calculation:
magnetization	5.13	μB/f.u.
space group	P4/mmm
electronic total energy	-6.9666	eV/atom
E_form	14.6	kcal/mol of atoms

Structure (POSCAR):
```
CaZrMn2V
1.0
4.709 0.000 0.000
0.000 4.709 0.000
0.000 0.000 4.840
Ca Zr Mn V
1 1 2 1
Direct
0.000 0.000 0.000 Ca
0.500 0.500 0.000 Zr
0.000 0.500 0.500 Mn
0.500 0.000 0.500 Mn
0.500 0.500 0.500 V
```

***

[3]
The following is a DFT calculation (PBE) of crystalline AuCl5 at its relaxed geometry.

Values from the calculation:
E above lowest polymorph	0	meV per atom
magnetization	0.00	μB/f.u.
space group	Cm
ΔE_f (raw)	4	meV/atom
electronic total energy	-2.0811	eV/atom

Structure (POSCAR):
```
AuCl5
1.0
9.981 -1.817 0.000
9.981 1.817 0.000
-1.257 0.000 5.073
Au Cl
1 5
Direct
0.000 0.000 0.000 Au
0.109 0.109 0.676 Cl
0.436 0.436 0.748 Cl
0.553 0.553 0.287 Cl
0.757 0.757 0.407 Cl
0.799 0.799 0.096 Cl
```